Entry 1:
Entry from Alexandria: an optimized crystal structure of NbSb3I (PBE-GGA).

a = 5.387 Å, b = 5.387 Å, c = 5.387 Å
α = 90.00°, β = 90.00°, γ = 90.00°
Sites, in units of the cell vectors:
Nb: 0.000 0.000 0.000
Sb: 0.000 0.000 0.500
Sb: 0.000 0.500 0.000
Sb: 0.500 0.000 0.000
I: 0.500 0.500 0.500

Results
density of states at the Fermi level: 2.81 states/eV/f.u.
E: -4.616 eV/atom
formation energy from raw total energies: 87 kJ/mol of formula units
space group: Pm-3m

Entry 2:
Entry from Alexandria: an optimized crystal structure of Dy2Y3Sb2 (PBE-GGA).

a = 6.459 Å, b = 6.459 Å, c = 8.481 Å
α = 107.85°, β = 107.85°, γ = 38.33°
Sites, in units of the cell vectors:
Dy: 0.134 0.134 0.287
Dy: 0.866 0.866 0.713
Y: 0.375 0.375 0.054
Y: 0.500 0.500 0.500
Y: 0.625 0.625 0.946
Sb: 0.174 0.174 0.694
Sb: 0.826 0.826 0.306

Results
density of states at the Fermi level: 7.51 states/eV/f.u.
E: -5.917 eV/atom
formation energy from raw total energies: -442 kJ/mol of formula units
space group: C2/m